The following is a DFT calculation (GGA-PBE) of TbDy7Y4 after structural relaxation.

CIF file:
```
data_TbDy7Y4
_chemical_formula_sum 'Tb2 Dy14 Y8'
_symmetry_space_group_name_H-M 'C 1 2/m 1'
_symmetry_Int_Tables_number 12
_symmetry_space_group_name_Hall '-C 2y'
_cell_length_a 12.002
_cell_length_b 5.880
_cell_length_c 12.668
_cell_angle_alpha 90.00
_cell_angle_beta 118.00
_cell_angle_gamma 90.00
loop_
_atom_site_label
_atom_site_type_symbol
_atom_site_fract_x
_atom_site_fract_y
_atom_site_fract_z
Tb1 Tb 0.000 0.000 0.000
Dy1 Dy 0.000 0.500 0.000
Dy2 Dy 0.132 0.000 0.500
Dy3 Dy 0.213 0.500 0.924
Dy4 Dy 0.242 0.500 0.679
Y1 Y 0.063 0.500 0.319
Y2 Y 0.140 0.000 0.776
```

Calculated values
E_form: 0.2804 eV/atom
Excess energy over the best structure of this formula in the dataset: 0.281 eV per atom
Spin magnetization: 0.00 μB per formula unit
Calculated volume: 32.9 Å³/atom
Density of states at the Fermi level: 20.6 states/eV/f.u.



The following is a DFT calculation (GGA-PBE) of HfMn2AlTe after structural relaxation.

CIF file:
```
data_HfMn2AlTe
_chemical_formula_sum 'Hf1 Mn2 Al1 Te1'
_symmetry_space_group_name_H-M 'P 4/m m m'
_symmetry_Int_Tables_number 123
_symmetry_space_group_name_Hall '-P 4 2'
_cell_length_a 4.842
_cell_length_b 4.842
_cell_length_c 5.300
_cell_angle_alpha 90.00
_cell_angle_beta 90.00
_cell_angle_gamma 90.00
loop_
_atom_site_label
_atom_site_type_symbol
_atom_site_fract_x
_atom_site_fract_y
_atom_site_fract_z
Hf1 Hf 0.000 0.000 0.000
Mn1 Mn 0.000 0.500 0.000
Al1 Al 0.000 0.000 0.500
Te1 Te 0.500 0.500 0.500
```

Calculated values
E_form (uncorrected): 1.114 eV per atom
Spin magnetization: 5.73 μB per formula unit
Calculated volume: 24.9 Å³/atom
Density of states at the Fermi level: 3.9 states/eV/f.u.



The following is a DFT calculation (GGA-PBE) of Ag3RuF after structural relaxation.

CIF file:
```
data_Ag3RuF
_chemical_formula_sum 'Ag3 Ru1 F1'
_symmetry_space_group_name_H-M 'P m -3 m'
_symmetry_Int_Tables_number 221
_symmetry_space_group_name_Hall '-P 4 2 3'
_cell_length_a 4.517
_cell_length_b 4.517
_cell_length_c 4.517
_cell_angle_alpha 90.00
_cell_angle_beta 90.00
_cell_angle_gamma 90.00
loop_
_atom_site_label
_atom_site_type_symbol
_atom_site_fract_x
_atom_site_fract_y
_atom_site_fract_z
Ag1 Ag 0.000 0.000 0.500
Ru1 Ru 0.500 0.500 0.500
F1 F 0.000 0.000 0.000
```

Calculated values
E_form (uncorrected): 0.620 eV per atom
Excess energy over the best structure of this formula in the dataset: 0.000 eV per atom
Spin magnetization: 2.21 μB per formula unit
Calculated volume: 18.4 Å³/atom
Density of states at the Fermi level: 9.6 states/eV/f.u.



The following is a DFT calculation (GGA-PBE) of Li12Mg2In after structural relaxation.

CIF file:
```
data_Li12Mg2In
_chemical_formula_sum 'Li48 Mg8 In4'
_symmetry_space_group_name_H-M 'C m m e'
_symmetry_Int_Tables_number 67
_symmetry_space_group_name_Hall '-C 2a 2'
_cell_length_a 6.070
_cell_length_b 10.044
_cell_length_c 20.042
_cell_angle_alpha 90.00
_cell_angle_beta 90.00
_cell_angle_gamma 90.00
loop_
_atom_site_label
_atom_site_type_symbol
_atom_site_fract_x
_atom_site_fract_y
_atom_site_fract_z
Li1 Li 0.000 0.000 0.071
Li2 Li 0.000 0.006 0.439
Li3 Li 0.245 0.250 0.581
Li4 Li 0.250 0.000 0.200
Li5 Li 0.250 0.000 0.326
Li6 Li 0.250 0.250 0.129
Mg1 Mg 0.000 0.250 0.275
Mg2 Mg 0.000 0.250 0.726
In1 In 0.000 0.250 0.000
```

Calculated values
E_form: -0.0144 eV/atom
Spin magnetization: 0.00 μB per formula unit
Calculated volume: 20.4 Å³/atom
Density of states at the Fermi level: 4.9 states/eV/f.u.



The following is a DFT calculation (GGA-PBE) of TiV3Rh6 after structural relaxation.

CIF file:
```
data_TiV3Rh6
_chemical_formula_sum 'Ti2 V6 Rh12'
_symmetry_space_group_name_H-M 'P 1 21/m 1'
_symmetry_Int_Tables_number 11
_symmetry_space_group_name_Hall '-P 2yb'
_cell_length_a 8.354
_cell_length_b 3.857
_cell_length_c 8.722
_cell_angle_alpha 90.00
_cell_angle_beta 92.16
_cell_angle_gamma 90.00
loop_
_atom_site_label
_atom_site_type_symbol
_atom_site_fract_x
_atom_site_fract_y
_atom_site_fract_z
Ti1 Ti 0.059 0.250 0.383
V1 V 0.250 0.250 0.015
V2 V 0.347 0.750 0.796
V3 V 0.442 0.250 0.595
Rh1 Rh 0.062 0.750 0.903
Rh2 Rh 0.154 0.250 0.703
Rh3 Rh 0.155 0.750 0.196
Rh4 Rh 0.251 0.750 0.499
Rh5 Rh 0.366 0.250 0.303
Rh6 Rh 0.462 0.750 0.102
```

Calculated values
E_form: -0.4638 eV/atom
Spin magnetization: 0.00 μB per formula unit
Calculated volume: 14.0 Å³/atom
Density of states at the Fermi level: 9.4 states/eV/f.u.



The following is a DFT calculation (GGA-PBE) of TcPt2Br after structural relaxation.

CIF file:
```
data_TcPt2Br
_chemical_formula_sum 'Tc1 Pt2 Br1'
_symmetry_space_group_name_H-M 'P m m m'
_symmetry_Int_Tables_number 47
_symmetry_space_group_name_Hall '-P 2 2'
_cell_length_a 2.886
_cell_length_b 4.716
_cell_length_c 4.941
_cell_angle_alpha 90.00
_cell_angle_beta 90.00
_cell_angle_gamma 90.00
loop_
_atom_site_label
_atom_site_type_symbol
_atom_site_fract_x
_atom_site_fract_y
_atom_site_fract_z
Tc1 Tc 0.000 0.000 0.000
Pt1 Pt 0.000 0.500 0.500
Pt2 Pt 0.500 0.000 0.500
Br1 Br 0.500 0.500 0.000
```

Calculated values
E_form (uncorrected): 0.694 eV per atom
Excess energy over the best structure of this formula in the dataset: 0.483 eV per atom
Spin magnetization: 1.92 μB per formula unit
Calculated volume: 16.8 Å³/atom
Density of states at the Fermi level: 5.3 states/eV/f.u.



The following is a DFT calculation (GGA-PBE) of AuSe3S after structural relaxation.

CIF file:
```
data_AuSe3S
_chemical_formula_sum 'Au1 Se3 S1'
_symmetry_space_group_name_H-M 'P m -3 m'
_symmetry_Int_Tables_number 221
_symmetry_space_group_name_Hall '-P 4 2 3'
_cell_length_a 4.848
_cell_length_b 4.848
_cell_length_c 4.848
_cell_angle_alpha 90.00
_cell_angle_beta 90.00
_cell_angle_gamma 90.00
loop_
_atom_site_label
_atom_site_type_symbol
_atom_site_fract_x
_atom_site_fract_y
_atom_site_fract_z
Au1 Au 0.000 0.000 0.000
Se1 Se 0.000 0.500 0.500
S1 S 0.500 0.500 0.500
```

Calculated values
E_form (uncorrected): 0.766 eV per atom
Excess energy over the best structure of this formula in the dataset: 0.000 eV per atom
Spin magnetization: 0.00 μB per formula unit
Calculated volume: 22.8 Å³/atom
Density of states at the Fermi level: 4.2 states/eV/f.u.



The following is a DFT calculation (GGA-PBE) of Be2CrCu after structural relaxation.

CIF file:
```
data_Be2CrCu
_chemical_formula_sum 'Be2 Cr1 Cu1'
_symmetry_space_group_name_H-M 'P 4/m m m'
_symmetry_Int_Tables_number 123
_symmetry_space_group_name_Hall '-P 4 2'
_cell_length_a 2.462
_cell_length_b 2.462
_cell_length_c 6.478
_cell_angle_alpha 90.00
_cell_angle_beta 90.00
_cell_angle_gamma 90.00
loop_
_atom_site_label
_atom_site_type_symbol
_atom_site_fract_x
_atom_site_fract_y
_atom_site_fract_z
Be1 Be 0.000 0.000 0.239
Cr1 Cr 0.500 0.500 0.500
Cu1 Cu 0.500 0.500 0.000
```

Calculated values
E_form: -0.0284 eV/atom
Spin magnetization: 0.00 μB per formula unit
Calculated volume: 9.8 Å³/atom
Density of states at the Fermi level: 1.6 states/eV/f.u.



The following is a DFT calculation (GGA-PBE) of Pm2HgBr2 after structural relaxation.

CIF file:
```
data_Pm2HgBr2
_chemical_formula_sum 'Pm6 Hg3 Br6'
_symmetry_space_group_name_H-M 'R -3 m'
_symmetry_Int_Tables_number 166
_symmetry_space_group_name_Hall '-R 3 2"'
_cell_length_a 4.1454
_cell_length_b 4.1454
_cell_length_c 34.2834
_cell_angle_alpha 90.00
_cell_angle_beta 90.00
_cell_angle_gamma 120.00
loop_
_atom_site_label
_atom_site_type_symbol
_atom_site_fract_x
_atom_site_fract_y
_atom_site_fract_z
Pm1 Pm 0.0000 0.0000 0.1081
Hg1 Hg 0.0000 0.0000 0.5000
Br1 Br 0.0000 0.0000 0.2787
```

Calculated values
E_form (uncorrected): -1.185 eV per atom
Spin magnetization: 0.00 μB per formula unit
Calculated volume: 34.0 Å³/atom
Density of states at the Fermi level: 1.6 states/eV/f.u.



The following is a DFT calculation (GGA-PBE) of TmZr3N3 after structural relaxation.

CIF file:
```
data_TmZr3N3
_chemical_formula_sum 'Tm8 Zr24 N24'
_symmetry_space_group_name_H-M 'I 41 3 2'
_symmetry_Int_Tables_number 214
_symmetry_space_group_name_Hall 'I 4bd 2c 3'
_cell_length_a 9.347
_cell_length_b 9.347
_cell_length_c 9.347
_cell_angle_alpha 90.00
_cell_angle_beta 90.00
_cell_angle_gamma 90.00
loop_
_atom_site_label
_atom_site_type_symbol
_atom_site_fract_x
_atom_site_fract_y
_atom_site_fract_z
Tm1 Tm 0.125 0.125 0.125
Zr1 Zr 0.117 0.375 0.367
N1 N 0.121 0.125 0.871
```

Calculated values
E_form (uncorrected): -1.507 eV per atom
Spin magnetization: 0.00 μB per formula unit
Calculated volume: 14.6 Å³/atom
Density of states at the Fermi level: 2.9 states/eV/f.u.



The following is a DFT calculation (GGA-PBE) of Pm2PrCd4 after structural relaxation.

CIF file:
```
data_Pm2PrCd4
_chemical_formula_sum 'Pm4 Pr2 Cd8'
_symmetry_space_group_name_H-M 'I 4/m m m'
_symmetry_Int_Tables_number 139
_symmetry_space_group_name_Hall '-I 4 2'
_cell_length_a 5.982
_cell_length_b 5.982
_cell_length_c 11.781
_cell_angle_alpha 90.00
_cell_angle_beta 90.00
_cell_angle_gamma 90.00
loop_
_atom_site_label
_atom_site_type_symbol
_atom_site_fract_x
_atom_site_fract_y
_atom_site_fract_z
Pm1 Pm 0.000 0.000 0.143
Pr1 Pr 0.000 0.000 0.500
Cd1 Cd 0.000 0.500 0.000
Cd2 Cd 0.000 0.500 0.250
```

Calculated values
E_form: -0.0442 eV/atom
Excess energy over the best structure of this formula in the dataset: 0.117 eV per atom
Spin magnetization: 0.50 μB per formula unit
Calculated volume: 30.1 Å³/atom
Density of states at the Fermi level: 9.2 states/eV/f.u.



The following is a DFT calculation (GGA-PBE) of Ac3AlB2Pt9 after structural relaxation.

CIF file:
```
data_Ac3AlB2Pt9
_chemical_formula_sum 'Ac3 Al1 B2 Pt9'
_symmetry_space_group_name_H-M 'P -3 m 1'
_symmetry_Int_Tables_number 164
_symmetry_space_group_name_Hall '-P 3 2"'
_cell_length_a 5.9859
_cell_length_b 5.9859
_cell_length_c 9.2716
_cell_angle_alpha 90.00
_cell_angle_beta 90.00
_cell_angle_gamma 120.00
loop_
_atom_site_label
_atom_site_type_symbol
_atom_site_fract_x
_atom_site_fract_y
_atom_site_fract_z
Ac1 Ac 0.0000 0.0000 0.0000
Ac2 Ac 0.3333 0.6667 0.6233
Al1 Al 0.0000 0.0000 0.5000
B1 B 0.3333 0.6667 0.1495
Pt1 Pt 0.0000 0.5000 0.0000
Pt2 Pt 0.1656 0.3311 0.2897
```

Calculated values
E_form: -0.8258 eV/atom
Spin magnetization: 0.00 μB per formula unit
Calculated volume: 19.2 Å³/atom
Density of states at the Fermi level: 4.1 states/eV/f.u.



Q: What is the calculated volume in the eleventh record?
A: 30.1 Å³/atom